The following is a DFT calculation (GGA-PBE) of a relaxed structure of Na7Tl4Bi.

Unit cell a=5.4881 b=5.4881 c=13.6350 alpha=90.00 beta=90.00 gamma=120.00
With the nearest neighbours (Å) after each atom.
Space group P-3m1 (No. 164)
Symmetry-distinct sites (fractional):
Na1 0.0000 0.0000 0.0000 (multiplicity 1)  6 Tl 3.36, 2 Na 3.53
Na2 0.0000 0.0000 0.2592 (multiplicity 2)  1 Bi 3.28, 3 Tl 3.31, 4 Na 3.46-3.53
Na3 0.3333 0.6667 0.1575 (multiplicity 2)  4 Tl 3.28-3.33, 3 Na 3.46
Na4 0.3333 0.6667 0.4275 (multiplicity 2)  4 Tl 3.32-3.44, 3 Bi 3.32, 1 Na 3.68
Tl1 0.3333 0.6667 0.6707 (multiplicity 2)  7 Na 3.31-3.44, 1 Tl 3.36
Tl2 0.3333 0.6667 0.9173 (multiplicity 2)  7 Na 3.28-3.36, 1 Tl 3.36
Bi1 0.0000 0.0000 0.5000 (multiplicity 1)  8 Na 3.28-3.32

Values from the calculation:
The formation enthalpy at 0 K is -3.271 kcal/mol of atoms.